1 | Below is CrInI3 after structural relaxation, with properties calculated at the PBE level.

```
10
Lattice="5.646 1.207 0.000 0.950 8.386 0.000 0.000 0.000 8.278" Properties=species:S:1:pos:R:3 pbc="T T T"
I 1.358 6.455 4.243
I 1.358 6.455 8.174
I 5.238 3.138 4.035
I 5.238 3.138 0.104
I 3.836 8.690 2.070
I 2.760 0.903 6.209
Cr 0.976 8.266 2.070
Cr 5.620 1.327 6.209
In 2.237 3.400 2.070
In 4.359 6.193 6.209
```

Properties
* space-group type: No. 11
* DOS(E_F): 0.524 states/eV per atom

***

2 | Below is CrInI3 after structural relaxation, with properties calculated at the PBE level.

```
5
Lattice="-2.192 4.048 -3.272 -4.094 -3.533 -1.630 -3.215 1.739 4.306" Properties=species:S:1:pos:R:3 pbc="T T T"
Cr 0.000 0.000 0.000
I -1.096 2.024 -1.636
I -2.047 -1.767 -0.815
I -1.608 0.870 2.153
In -4.750 1.127 -0.298
```

Properties
* space-group type: No. 221
* DOS(E_F): 0.172 states/eV per atom

***

Energetically preferred structure: 1 | next structure: +27 meV per atom

***

1 | Below is Cr2InI2 after structural relaxation, with properties calculated at the PBE level.

```
5
Lattice="-0.357 0.821 3.537 -1.963 -3.034 0.506 7.104 -6.121 4.019" Properties=species:S:1:pos:R:3 pbc="T T T"
I 3.471 -5.727 5.443
I 1.313 -2.607 2.619
Cr 1.990 -5.131 3.273
Cr 2.793 -3.204 4.789
In 0.000 0.000 0.000
```

Properties
* space-group type: No. 139
* DOS(E_F): 1.649 states/eV per atom

***

2 | Below is Cr2InI2 after structural relaxation, with properties calculated at the PBE level.

```
10
Lattice="-4.793 -0.299 -7.532 7.534 0.097 -4.798 0.099 -3.648 0.082" Properties=species:S:1:pos:R:3 pbc="T T T"
I 0.955 -0.187 -9.492
I 4.697 -0.020 -6.583
I 1.786 -0.015 -2.839
I -1.956 -0.182 -5.748
Cr 4.274 -1.906 -8.726
Cr -1.434 -1.944 -3.523
Cr -1.180 -2.060 -8.977
Cr 4.019 -1.791 -3.272
In 1.370 -0.101 -6.165
In 0.000 0.000 0.000
```

Properties
* space-group type: No. 127
* DOS(E_F): 0.641 states/eV per atom

***

Energetically preferred structure: 1 | next structure: +287 meV per atom

***

1 | Below is CrInI2 after structural relaxation, with properties calculated at the PBE level.

```
8
Lattice="8.393 0.000 0.000 0.000 8.393 0.000 4.197 4.197 4.101" Properties=species:S:1:pos:R:3 pbc="T T T"
I 2.631 6.295 1.025
I 10.491 9.959 3.076
I 5.762 2.098 1.025
I 6.295 6.828 3.076
Cr 4.197 4.197 0.000
Cr 4.197 8.393 2.051
In 0.000 0.000 0.000
In 8.393 4.197 2.051
```

Properties
* space-group type: No. 122
* DOS(E_F): 0.000 states/eV per atom

***

2 | Below is CrInI2 after structural relaxation, with properties calculated at the PBE level.

```
4
Lattice="-4.092 -2.892 -2.557 -5.390 1.231 1.044 -3.139 2.472 -3.961" Properties=species:S:1:pos:R:3 pbc="T T T"
I -3.155 0.203 -1.369
I -9.466 0.608 -4.106
Cr 0.000 0.000 0.000
In -6.310 0.406 -2.737
```

Properties
* space-group type: No. 225
* DOS(E_F): 0.729 states/eV per atom

***

Energetically preferred structure: 1 | next structure: +199 meV per atom